First-principles (PBE) data for a relaxed structure of CaTaCr2, as listed in the Alexandria database.

abc: 2.682 2.682 9.493
angles: 90.00 90.00 90.00
Fractional positions:
Cr1 0.000 0.000 0.022
Cr2 0.000 0.000 0.478
Ca1 0.500 0.500 0.750
Ta1 0.500 0.500 0.250

Computed properties:
Space-group type: P4/mmm, No. 123
M_tot, μB per formula unit: 0.0
ΔE_f, eV per atom: 0.890

=====

First-principles (PBE) data for a relaxed structure of CaTaCr2, as listed in the Alexandria database.

abc: 9.194 9.194 9.194
angles: 19.75 19.75 19.75
Last column: magnetic moment on the atom in μB.
Fractional positions:
Cr1 0.987 0.987 0.987  2.47
Cr2 0.513 0.513 0.513  2.47
Ca1 0.750 0.750 0.750  0.01
Ta1 0.250 0.250 0.250  -0.53

Computed properties:
Space-group type: R-3m, No. 166
M_tot, μB per formula unit: 4.8
ΔE_f, eV per atom: 0.814

=====

| no. | energy relative to the lowest polymorph listed for this composition (meV/atom) |
| --- | --- |
| 1 | 399 |
| 2 | 323 |